[1]
Entry from Alexandria via LeMat-Bulk: a relaxed structure of AsPtAu4 (PBE-GGA).

Computed properties:
Raw total energy ... -3.56 eV per atom
Energy of formation from the pure elements ... 404 meV per atom
M_tot ... 0.00 μB/f.u.

POSCAR file:
```
AsPtAu4
1.0
0.000 3.860 3.860
3.860 0.000 3.860
3.860 3.860 0.000
As Pt Au
1 1 4
Direct
0.000 0.000 0.000
0.250 0.250 0.250
0.125 0.625 0.625
0.625 0.125 0.625
0.625 0.625 0.125
0.625 0.625 0.625
```

[2]
Entry from Alexandria via LeMat-Bulk: a relaxed structure of AsPtAu2 (PBE-GGA).

Computed properties:
Raw total energy ... -4.15 eV per atom
Energy of formation from the pure elements ... 159 meV per atom
M_tot ... 0.00 μB/f.u.

POSCAR file:
```
AsPtAu2
1.0
2.918 0.000 0.000
0.000 2.918 0.000
0.000 0.000 8.348
As Pt Au
1 1 2
Direct
0.000 0.000 0.000
0.000 0.000 0.500
0.500 0.500 0.258
0.500 0.500 0.742
```

[3]
Entry from Alexandria via LeMat-Bulk: a relaxed structure of AsPtAu2 (PBE-GGA).

Computed properties:
Raw total energy ... -4.28 eV per atom
Energy of formation from the pure elements ... 30 meV per atom
M_tot ... 0.00 μB/f.u.

POSCAR file:
```
AsPtAu2
1.0
5.090 -1.687 0.000
5.090 1.687 0.000
-1.202 0.000 4.313
As Pt Au
1 1 2
Direct
0.000 0.000 0.000
0.667 0.667 0.273
0.222 0.222 0.790
0.410 0.410 0.430
```

[4]
Entry from Alexandria via LeMat-Bulk: a relaxed structure of AsPtAu2 (PBE-GGA).

Computed properties:
Raw total energy ... -4.16 eV per atom
Energy of formation from the pure elements ... 149 meV per atom
M_tot ... 0.00 μB/f.u.

POSCAR file:
```
AsPtAu2
1.0
-3.740 3.740 2.664
3.740 -3.740 2.664
3.740 3.740 -2.664
As Pt Au
2 2 4
Direct
0.000 0.000 0.000
0.750 0.250 0.500
0.250 0.750 0.500
0.500 0.500 0.000
0.111 0.625 0.986
0.375 0.361 0.486
0.639 0.125 0.014
0.875 0.889 0.514
```

[5]
Entry from Alexandria via LeMat-Bulk: a relaxed structure of As2Pt2Au (PBE-GGA).

Computed properties:
Raw total energy ... -4.97 eV per atom
Energy of formation from the pure elements ... -34 meV per atom
M_tot ... 0.00 μB/f.u.

POSCAR file:
```
As2Pt2Au
1.0
7.344 0.000 0.000
0.000 7.344 0.000
0.000 0.000 3.285
As Pt Au
4 4 2
Direct
0.156 0.344 0.000
0.344 0.844 0.000
0.656 0.156 0.000
0.844 0.656 0.000
0.141 0.641 0.500
0.359 0.141 0.500
0.641 0.859 0.500
0.859 0.359 0.500
0.000 0.000 0.500
0.500 0.500 0.500
```

[6]
Entry from Alexandria via LeMat-Bulk: a relaxed structure of AsPtAu2 (PBE-GGA).

Computed properties:
Raw total energy ... -4.29 eV per atom
Energy of formation from the pure elements ... 23 meV per atom
M_tot ... 0.00 μB/f.u.

POSCAR file:
```
AsPtAu2
1.0
5.005 0.000 0.000
0.000 2.996 0.000
-1.974 0.000 4.997
As Pt Au
1 1 2
Direct
0.000 0.000 0.000
0.838 0.500 0.608
0.318 0.000 0.557
0.556 0.000 0.126
```

[7]
Entry from Alexandria via LeMat-Bulk: a relaxed structure of As2Pt2Au (PBE-GGA).

Computed properties:
Raw total energy ... -4.85 eV per atom
Energy of formation from the pure elements ... 78 meV per atom
M_tot ... 0.00 μB/f.u.

POSCAR file:
```
As2Pt2Au
1.0
-2.061 2.061 5.643
2.061 -2.061 5.643
2.061 2.061 -5.643
As Pt Au
2 2 1
Direct
0.250 0.750 0.500
0.750 0.250 0.500
0.116 0.116 0.000
0.884 0.884 0.000
0.500 0.500 0.000
```

[8]
Entry from Alexandria via LeMat-Bulk: a relaxed structure of As2Pt2Au (PBE-GGA).

Computed properties:
Raw total energy ... -4.89 eV per atom
Energy of formation from the pure elements ... 46 meV per atom
M_tot ... 0.00 μB/f.u.

POSCAR file:
```
As2Pt2Au
1.0
-1.921 1.921 6.617
1.921 -1.921 6.617
1.921 1.921 -6.617
As Pt Au
2 2 1
Direct
0.119 0.119 0.000
0.881 0.881 0.000
0.250 0.750 0.500
0.750 0.250 0.500
0.500 0.500 0.000
```

[9]
Entry from Alexandria via LeMat-Bulk: a relaxed structure of AsPt4Au (PBE-GGA).

Computed properties:
Raw total energy ... -5.11 eV per atom
Energy of formation from the pure elements ... 240 meV per atom
M_tot ... 0.00 μB/f.u.

POSCAR file:
```
AsPt4Au
1.0
0.000 3.755 3.755
3.755 0.000 3.755
3.755 3.755 0.000
As Pt Au
1 4 1
Direct
0.000 0.000 0.000
0.375 0.375 0.375
0.375 0.375 0.874
0.375 0.874 0.375
0.874 0.375 0.375
0.750 0.750 0.750
```

[10]
Entry from Alexandria via LeMat-Bulk: a relaxed structure of AsPtAu2 (PBE-GGA).

Computed properties:
Raw total energy ... -4.19 eV per atom
Energy of formation from the pure elements ... 121 meV per atom
M_tot ... 0.00 μB/f.u.

POSCAR file:
```
AsPtAu2
1.0
-2.015 2.015 4.317
2.015 -2.015 4.317
2.015 2.015 -4.317
As Pt Au
1 1 2
Direct
0.000 0.000 0.000
0.500 0.500 0.000
0.250 0.750 0.500
0.750 0.250 0.500
```

[11]
Entry from Alexandria via LeMat-Bulk: a relaxed structure of AsPtAu2 (PBE-GGA).

Computed properties:
Raw total energy ... -4.15 eV per atom
Energy of formation from the pure elements ... 161 meV per atom
M_tot ... 0.00 μB/f.u.

POSCAR file:
```
AsPtAu2
1.0
1.500 0.866 9.063
-1.500 0.866 9.063
0.000 -1.732 9.063
As Pt Au
1 1 2
Direct
0.000 0.000 0.000
0.500 0.500 0.500
0.251 0.251 0.251
0.749 0.749 0.749
```

[12]
Entry from Alexandria via LeMat-Bulk: a relaxed structure of AsPtAu2 (PBE-GGA).

Computed properties:
Raw total energy ... -4.14 eV per atom
Energy of formation from the pure elements ... 169 meV per atom
M_tot ... 0.00 μB/f.u.

POSCAR file:
```
AsPtAu2
1.0
1.430 -2.520 0.000
1.430 2.520 0.000
0.000 0.000 9.899
As Pt Au
1 1 2
Direct
0.000 0.000 0.000
0.000 0.000 0.500
0.500 0.500 0.254
0.500 0.500 0.746
```

Among the records above, which one has the highest energy of formation from the pure elements?
AsPtAu4

Which of these has the lowest energy of formation from the pure elements?
number 5

Which value of raw total energy does entry 3 give?
-4.28 eV per atom